1.
# CdAg2Se

A crystal of CdAg2Se relaxed with PBEsol (meta-GGA SCAN, Alexandria).

abc: 2.9797 2.9797 8.4453
angles: 90.00 90.00 90.16
Sites, in units of the cell vectors:
Cd 0.0000 0.0000 0.5209
Ag 0.0000 0.0000 0.9891
Ag 0.5000 0.5000 0.7574
Se 0.5000 0.5000 0.2327

Summary:
ΔE to the lowest computed polymorph (meV per atom): 123
Formation energy without anion corrections (eV/f.u.): 0.4
V (Å³/f.u.): 75.0

2.
# CdAg2Se

A crystal of CdAg2Se relaxed with PBEsol (meta-GGA SCAN, Alexandria).

abc: 4.1093 4.1093 5.2496
angles: 113.04 113.04 90.00
Sites, in units of the cell vectors:
Cd 0.5000 0.5000 0.0000
Ag 0.0000 0.0000 0.0000
Ag 0.7500 0.2500 0.5000
Se 0.2500 0.7500 0.5000

Summary:
ΔE to the lowest computed polymorph (meV per atom): 48
Formation energy without anion corrections (eV/f.u.): 0.1
V (Å³/f.u.): 73.8

3.
# Cd3SiAg

A crystal of Cd3SiAg relaxed with PBEsol (meta-GGA SCAN, Alexandria).

abc: 4.9891 4.9891 4.9891
angles: 90.00 90.00 90.00
Sites, in units of the cell vectors:
Cd 0.0000 0.0000 0.5000
Cd 0.5000 0.0000 0.0000
Cd 0.0000 0.5000 0.0000
Si 0.0000 0.0000 0.0000
Ag 0.5000 0.5000 0.5000

Summary:
Formation energy without anion corrections (eV/f.u.): 2.9
V (Å³/f.u.): 124.2

4.
# CdSi2Ag

A crystal of CdSi2Ag relaxed with PBEsol (meta-GGA SCAN, Alexandria).

abc: 4.6313 4.6313 4.6313
angles: 60.00 60.00 60.00
Sites, in units of the cell vectors:
Si 0.2500 0.2500 0.2500
Si 0.0000 0.0000 0.0000
Ag 0.5000 0.5000 0.5000
Cd 0.7500 0.7500 0.7500

Summary:
Formation energy without anion corrections (eV/f.u.): 2.4
V (Å³/f.u.): 70.2

5.
# CdSi2Ag

A crystal of CdSi2Ag relaxed with PBEsol (meta-GGA SCAN, Alexandria).

abc: 2.7412 5.0870 5.0870
angles: 90.00 90.00 90.00
Sites, in units of the cell vectors:
Cd 0.5000 0.0000 0.0000
Ag 0.5000 0.5000 0.5000
Si 0.0000 0.5000 0.0000
Si 0.0000 0.0000 0.5000

Summary:
Formation energy without anion corrections (eV/f.u.): 2.4
V (Å³/f.u.): 70.9

6.
# CdSi2Ag

A crystal of CdSi2Ag relaxed with PBEsol (meta-GGA SCAN, Alexandria).

abc: 2.9572 2.9572 9.0655
angles: 80.61 80.61 60.00
Sites, in units of the cell vectors:
Si 0.0105 0.0105 0.9686
Si 0.7472 0.7472 0.7585
Ag 0.4926 0.4926 0.5222
Cd 0.2498 0.2498 0.2507

Summary:
Formation energy without anion corrections (eV/f.u.): 1.6
V (Å³/f.u.): 67.4